Entry 1:
First-principles (meta-GGA SCAN) data for a PBEsol-optimized structure of KCoP3O9, as listed in the Alexandria database.

Lattice parameters (Å, degrees): 6.6153 6.6153 9.7940 90.00 90.00 120.00
Space group P-6c2 (No. 188)
Inequivalent atoms, fractional coordinates:
K 0.0000 0.0000 0.0000
Co 0.3333 0.6667 0.0000
P 0.4411 0.0475 0.2500
O 0.0750 0.4104 0.1183
O 0.4258 0.1427 0.7500

The calculation puts the total energy at -0.37968 hartree per atom. As for the density of states at the Fermi level: 0.4469 states/eV/atom.

Entry 2:
First-principles (meta-GGA SCAN) data for a PBEsol-optimized structure of KTa2Te, as listed in the Alexandria database.

Lattice parameters (Å, degrees): 3.4102 3.4102 8.7094 90.00 90.00 90.00
Space group P4mm (No. 99)
Inequivalent atoms, fractional coordinates:
K 0.0000 0.0000 0.0000
Ta 0.0000 0.0000 0.5033
Ta 0.5000 0.5000 0.3436
Te 0.5000 0.5000 0.6924

The calculation puts the total energy at -1.63121 hartree per atom. As for the density of states at the Fermi level: 0.7533 states/eV/atom.

> Which formula does entry 1 have?

KCoP3O9

> Number 1 is which compound?

KCoP3O9

> What is the formula in the second record?

KTa2Te